[1]
Material: Rb2ZnAgH
Method: DFT, PBE-GGA
State: optimized geometry

Summary:
Volume   155.0 Å³ per cell
ρ   3.697 g cm⁻³
DFT total energy   -1.722 eV/atom
SG   P4/mmm

Unit cell a=6.318 b=6.318 c=3.884 alpha=90.00 beta=90.00 gamma=90.00
Fractional coordinates of all 5 atoms:
Rb (0.000, 0.500, 0.000)
Rb (0.500, 0.000, 0.000)
Zn (0.000, 0.000, 0.500)
Ag (0.500, 0.500, 0.500)
H (0.500, 0.500, 0.000)

=====

[2]
Material: Zr2SiBr
Method: DFT, PBE-GGA
State: optimized geometry

Summary:
Volume   90.8 Å³ per cell
ρ   5.309 g cm⁻³
DFT total energy   -6.690 eV/atom
Formation energy without anion corrections   -642 meV/atom
SG   R-3m

Unit cell a=7.137 b=7.137 c=7.137 alpha=32.02 beta=32.02 gamma=32.02
Fractional coordinates of all 4 atoms:
Zr (0.228, 0.228, 0.228)
Zr (0.772, 0.772, 0.772)
Si (0.500, 0.500, 0.500)
Br (0.000, 0.000, 0.000)

=====

[3]
Material: TiMnZn2
Method: DFT, PBE-GGA
State: optimized geometry

Summary:
Volume   56.9 Å³ per cell
ρ   6.820 g cm⁻³
DFT total energy   -4.988 eV/atom
SG   P4/mmm
Energy of formation   -0.085 eV/atom

Unit cell a=3.705 b=3.705 c=4.143 alpha=90.00 beta=90.00 gamma=90.00
Fractional coordinates of all 4 atoms:
Ti (0.000, 0.000, 0.000)
Mn (0.500, 0.500, 0.000)
Zn (0.000, 0.500, 0.500)
Zn (0.500, 0.000, 0.500)

=====

Repeat the second record exactly.
Material: Zr2SiBr
Method: DFT, PBE-GGA
State: optimized geometry

Summary:
Volume   90.8 Å³ per cell
ρ   5.309 g cm⁻³
DFT total energy   -6.690 eV/atom
Formation energy without anion corrections   -642 meV/atom
SG   R-3m

Unit cell a=7.137 b=7.137 c=7.137 alpha=32.02 beta=32.02 gamma=32.02
Fractional coordinates of all 4 atoms:
Zr (0.228, 0.228, 0.228)
Zr (0.772, 0.772, 0.772)
Si (0.500, 0.500, 0.500)
Br (0.000, 0.000, 0.000)

=====

Repeat the first record exactly.
Material: Rb2ZnAgH
Method: DFT, PBE-GGA
State: optimized geometry

Summary:
Volume   155.0 Å³ per cell
ρ   3.697 g cm⁻³
DFT total energy   -1.722 eV/atom
SG   P4/mmm

Unit cell a=6.318 b=6.318 c=3.884 alpha=90.00 beta=90.00 gamma=90.00
Fractional coordinates of all 5 atoms:
Rb (0.000, 0.500, 0.000)
Rb (0.500, 0.000, 0.000)
Zn (0.000, 0.000, 0.500)
Ag (0.500, 0.500, 0.500)
H (0.500, 0.500, 0.000)

=====

Q: volume of number 1 (Rb2ZnAgH)?
A: 155.0 Å³ per cell